The following is a PBE+U calculation of crystalline NaCu2NiF6 at its relaxed geometry, from Alexandria via LeMat-Bulk.

Results
**Total moment**: 3.00 μB per formula unit
**DFT total energy**: -4.1913 eV per atom

```
NaCu2NiF6
1.0
-4.7108 -2.7041 0.8207
-0.4086 -5.2162 -1.1459
-0.3144 -3.9087 4.4296
F Na Cu Ni
6 1 2 1
direct
0.7012 0.1560 0.7388
0.3720 0.7306 0.7754
0.9370 0.5933 0.2360
0.1287 0.3808 0.7782
0.6057 0.2304 0.2182
0.2566 0.9183 0.2543
0.8084 0.8011 0.5754
0.5242 0.5195 0.4389
0.0033 0.0120 0.9680
0.3245 0.3196 0.0319
```